VASP calculation (PBE) on an optimized crystal structure of ErLuMgBe.

Lattice parameters (Å, degrees): 5.018 5.018 5.018 60.00 60.00 60.00
Atoms (fractional coordinates):
Er: 0.000 0.000 0.000
Lu: 0.500 0.500 0.500
Mg: 0.750 0.750 0.750
Be: 0.250 0.250 0.250

Summary:
DOS at the Fermi energy (states/eV/atom): 0.94
Volume (Å³ per cell): 89.34
Total DFT energy (no corrections) (Ry per atom): -0.258
Crystal system: cubic
Size of the total moment (μB/cell): 0.00